The following is a DFT calculation (GGA+U) of an optimized crystal structure of Mn2BeTlF8.

Cell and atoms, written as POSCAR:
```
Mn2BeTlF8
1.0
-4.1672 -2.3115 -1.1673
1.2857 -0.5172 -4.6853
2.8323 -5.8474 1.3992
Mn F Be Tl
2 8 1 1
Direct
0.5000 0.4999 0.2261 Mn
0.5000 0.5001 0.7739 Mn
0.8201 0.1845 0.8146 F
0.1812 0.8169 0.8146 F
0.6685 0.6737 0.4993 F
0.1799 0.8155 0.1854 F
0.3315 0.3263 0.5007 F
0.8188 0.1831 0.1854 F
0.2875 0.2843 0.0005 F
0.7125 0.7157 0.9995 F
0.0000 0.0000 0.0000 Be
0.0000 0.0000 0.5000 Tl
```

The calculation puts the total energy at -65.26 eV for the cell shown. For the magnetization, the calculation gives 9.593 μB/f.u. The density of states at the Fermi level is 2.6 states/eV/cell. As for the space group: P-1 (2).